SbRh2Cl | PBEsol | relaxed

energy relative to the elements, uncorrected = 0.0887 eV/atom
theoretical density = 8.3 g/cm3
volume = 72.45 Å³/cell
N(E_F) = 4.94 states/eV/cell
energy above the most stable polymorph in this dataset = 41 meV per atom
VASP energy = -5.622 eV per atom

Cell lengths 3.151, 3.151, 7.298 Å; angles 90.00, 90.00, 90.00 degrees
Fractional coordinates of all 4 atoms:
Sb1 0.000 0.000 0.436
Rh1 0.000 0.000 0.027
Rh2 0.500 0.500 0.220
Cl1 0.500 0.500 0.816

---

SbRh2Cl | PBEsol | relaxed

energy relative to the elements, uncorrected = 0.0713 eV/atom
theoretical density = 9.5 g/cm3
volume = 63.60 Å³/cell
N(E_F) = 4.86 states/eV/cell
energy above the most stable polymorph in this dataset = 23 meV per atom
VASP energy = -5.639 eV per atom

Cell lengths 4.480, 4.480, 4.480 Å; angles 60.00, 60.00, 60.00 degrees
Fractional coordinates of all 4 atoms:
Sb1 0.500 0.500 0.500
Rh1 0.750 0.750 0.750
Rh2 0.250 0.250 0.250
Cl1 0.000 0.000 0.000

---

SbRh2Cl | PBEsol | relaxed

energy relative to the elements, uncorrected = 0.3712 eV/atom
theoretical density = 9.1 g/cm3
volume = 65.91 Å³/cell
N(E_F) = 1.06 states/eV/cell
energy above the most stable polymorph in this dataset = 323 meV per atom
VASP energy = -5.339 eV per atom

Cell lengths 4.534, 4.534, 4.534 Å; angles 60.00, 60.00, 60.00 degrees
Fractional coordinates of all 4 atoms:
Sb1 0.250 0.250 0.250
Rh1 0.000 0.000 0.000
Rh2 0.750 0.750 0.750
Cl1 0.500 0.500 0.500

---

ScRhCl2 | PBEsol | relaxed

energy relative to the elements, uncorrected = -0.8757 eV/atom
theoretical density = 4.3 g/cm3
volume = 84.91 Å³/cell
N(E_F) = 3.64 states/eV/cell
energy above the most stable polymorph in this dataset = 222 meV per atom
VASP energy = -5.566 eV per atom

Cell lengths 3.500, 3.919, 6.726 Å; angles 106.94, 105.08, 90.00 degrees
Fractional coordinates of all 4 atoms:
Sc1 0.000 0.500 0.000
Rh1 0.500 0.000 0.000
Cl1 0.650 0.650 0.300
Cl2 0.350 0.350 0.700

---

Sc2RhCl | PBEsol | relaxed

energy relative to the elements, uncorrected = -0.9104 eV/atom
theoretical density = 5.3 g/cm3
volume = 71.29 Å³/cell
N(E_F) = 3.23 states/eV/cell
energy above the most stable polymorph in this dataset = 197 meV per atom
VASP energy = -6.750 eV per atom

Cell lengths 3.159, 4.340, 5.200 Å; angles 90.00, 90.00, 90.00 degrees
Fractional coordinates of all 4 atoms:
Sc1 0.000 0.000 0.500
Sc2 0.500 0.500 0.000
Rh1 0.500 0.500 0.500
Cl1 0.000 0.000 0.000

---

ScRhCl2 | PBEsol | relaxed

energy relative to the elements, uncorrected = -0.5743 eV/atom
theoretical density = 5.9 g/cm3
volume = 61.91 Å³/cell
N(E_F) = 2.97 states/eV/cell
energy above the most stable polymorph in this dataset = 523 meV per atom
VASP energy = -5.264 eV per atom

Cell lengths 3.400, 4.267, 4.267 Å; angles 90.00, 90.00, 90.00 degrees
Fractional coordinates of all 4 atoms:
Sc1 0.500 0.000 0.000
Rh1 0.500 0.500 0.500
Cl1 0.000 0.000 0.500
Cl2 0.000 0.500 0.000

---

Sc2RhCl | PBEsol | relaxed

energy relative to the elements, uncorrected = -1.1071 eV/atom
theoretical density = 5.0 g/cm3
volume = 75.30 Å³/cell
N(E_F) = 2.28 states/eV/cell
energy above the most stable polymorph in this dataset = 0 meV per atom
VASP energy = -6.946 eV per atom

Cell lengths 3.084, 3.260, 7.490 Å; angles 90.00, 90.00, 90.00 degrees
Fractional coordinates of all 4 atoms:
Sc1 0.000 0.000 0.712
Sc2 0.000 0.000 0.288
Rh1 0.500 0.500 0.500
Cl1 0.500 0.000 0.000

---

ScRhCl2 | PBEsol | relaxed

energy relative to the elements, uncorrected = -1.0977 eV/atom
theoretical density = 4.2 g/cm3
volume = 85.68 Å³/cell
N(E_F) = 0.54 states/eV/cell
energy above the most stable polymorph in this dataset = 0 meV per atom
VASP energy = -5.788 eV per atom

Cell lengths 3.356, 4.169, 6.383 Å; angles 95.91, 105.24, 90.00 degrees
Fractional coordinates of all 4 atoms:
Sc1 0.000 0.500 0.000
Rh1 0.500 0.000 0.000
Cl1 0.350 0.287 0.700
Cl2 0.650 0.713 0.300

---

ScRhCl2 | PBEsol | relaxed

energy relative to the elements, uncorrected = -0.6604 eV/atom
theoretical density = 5.5 g/cm3
volume = 66.11 Å³/cell
N(E_F) = 1.88 states/eV/cell
energy above the most stable polymorph in this dataset = 437 meV per atom
VASP energy = -5.350 eV per atom

Cell lengths 3.121, 4.021, 5.268 Å; angles 90.00, 90.00, 90.00 degrees
Fractional coordinates of all 4 atoms:
Sc1 0.000 0.500 0.500
Rh1 0.500 0.500 0.000
Cl1 0.000 0.000 0.000
Cl2 0.500 0.000 0.500

---

ScRhCl2 | PBEsol | relaxed

energy relative to the elements, uncorrected = -0.5039 eV/atom
theoretical density = 5.5 g/cm3
volume = 65.80 Å³/cell
N(E_F) = 4.54 states/eV/cell
energy above the most stable polymorph in this dataset = 594 meV per atom
VASP energy = -5.194 eV per atom

Cell lengths 4.532, 4.532, 4.532 Å; angles 60.00, 60.00, 60.00 degrees
Fractional coordinates of all 4 atoms:
Sc1 0.250 0.250 0.250
Rh1 0.500 0.500 0.500
Cl1 0.000 0.000 0.000
Cl2 0.750 0.750 0.750

---

ScRhCl2 | PBEsol | relaxed

energy relative to the elements, uncorrected = -1.0352 eV/atom
theoretical density = 4.5 g/cm3
volume = 80.63 Å³/cell
energy above the most stable polymorph in this dataset = 63 meV per atom
VASP energy = -5.725 eV per atom

Cell lengths 3.459, 3.662, 6.385 Å; angles 90.00, 94.54, 90.00 degrees
Fractional coordinates of all 4 atoms:
Sc1 0.271 0.500 0.694
Rh1 0.751 0.000 0.564
Cl1 0.967 0.000 0.921
Cl2 0.511 0.500 0.322

---

ScSnRh2Cl | PBEsol | relaxed

energy relative to the elements, uncorrected = 0.5082 eV/atom
theoretical density = 5.8 g/cm3
volume = 116.01 Å³/cell
N(E_F) = 0.74 states/eV/cell
VASP energy = -5.322 eV per atom

Cell lengths 4.795, 4.795, 5.045 Å; angles 90.00, 90.00, 90.00 degrees
Fractional coordinates of all 5 atoms:
Sc1 0.500 0.500 0.500
Rh1 0.000 0.500 0.000
Rh2 0.500 0.000 0.000
Sn1 0.000 0.000 0.000
Cl1 0.000 0.000 0.500